Here is crystalline Mg2CrCl6 at its relaxed geometry from Alexandria via LeMat-Bulk. Energies are from PBE.

Lattice parameters (Å, degrees): 7.0788 7.0788 7.0788 53.51 53.51 53.51
Last column: nearest neighbours and their distance in Å.
Positions (direct):
Mg 0.1796 0.1796 0.1796  6 Cl 2.49-2.58
Mg 0.8204 0.8204 0.8204  6 Cl 2.49-2.58
Cr 0.0000 0.0000 0.0000  6 Cl 2.52
Cl 0.0799 0.3977 0.7840  2 Mg 2.49-2.58, 1 Cr 2.52
Cl 0.2160 0.9201 0.6023  2 Mg 2.49-2.58, 1 Cr 2.52
Cl 0.3977 0.7840 0.0799  2 Mg 2.49-2.58, 1 Cr 2.52
Cl 0.6023 0.2160 0.9201  2 Mg 2.49-2.58, 1 Cr 2.52
Cl 0.7840 0.0799 0.3977  2 Mg 2.49-2.58, 1 Cr 2.52
Cl 0.9201 0.6023 0.2160  2 Mg 2.49-2.58, 1 Cr 2.52

DOS(E_F) ... 6.4 states/eV/cell
Spin magnetization ... 4.0 Bohr magnetons per cell
Energy relative to the elements, uncorrected ... -1.474 eV/atom
Calculated total energy ... -4.129 eV/atom
V ... 23.63 Å³/atom